# 1
DFT (PBE) results for a geometry-optimized CuBSbI2 structure.

## Properties
The calculation puts the density of states at the Fermi level at 1.03 states/eV/atom. For the uncorrected formation energy, the calculation gives 1.228 eV per atom. The energy relative to the lowest polymorph listed for this composition comes out at 171.1 meV per atom. Its space-group type is No. 123.

Unit cell a=5.4677 b=5.4677 c=4.9976 alpha=90.00 beta=90.00 gamma=90.00
Closest atoms and distances in Å follow each position.
Positions (direct):
Cu 0.0000 0.0000 0.0000  2 Sb 2.50, 4 I 2.73
B 0.5000 0.5000 0.5000  8 I 3.70, 4 Sb 3.87
Sb 0.0000 0.0000 0.5000  2 Cu 2.50
I 0.0000 0.5000 0.0000  2 Cu 2.73
I 0.5000 0.0000 0.0000  2 Cu 2.73

---

# 2
DFT (PBE) results for a geometry-optimized CuBSb2I structure.

## Properties
The calculation puts the density of states at the Fermi level at 0.75 states/eV/atom. For the uncorrected formation energy, the calculation gives 1.322 eV per atom. The energy relative to the lowest polymorph listed for this composition comes out at 285.4 meV per atom. Its space-group type is No. 123.

Unit cell a=4.9929 b=4.9929 c=5.6407 alpha=90.00 beta=90.00 gamma=90.00
Closest atoms and distances in Å follow each position.
Positions (direct):
Cu 0.0000 0.0000 0.0000  4 Sb 2.50
B 0.5000 0.5000 0.5000  4 I 3.53, 8 Sb 3.77
Sb 0.0000 0.5000 0.0000  2 Cu 2.50
Sb 0.5000 0.0000 0.0000  2 Cu 2.50
I 0.0000 0.0000 0.5000  2 Cu 2.82

---

# 3
DFT (PBE) results for a geometry-optimized CuB2SeI structure.

## Properties
The calculation puts the density of states at the Fermi level at 0.37 states/eV/atom. For the uncorrected formation energy, the calculation gives 1.465 eV per atom. Its space-group type is No. 123.

Unit cell a=4.2916 b=4.2916 c=4.9792 alpha=90.00 beta=90.00 gamma=90.00
Closest atoms and distances in Å follow each position.
Positions (direct):
Cu 0.0000 0.0000 0.0000  2 Se 2.49
B 0.0000 0.5000 0.5000  2 Se 2.15
B 0.5000 0.0000 0.5000  2 Se 2.15
Se 0.0000 0.0000 0.5000  4 B 2.15
I 0.5000 0.5000 0.0000  4 Cu 3.03, 8 B 3.29

---

# 4
DFT (PBE) results for a geometry-optimized CuBTeI2 structure.

## Properties
The calculation puts the density of states at the Fermi level at 0.81 states/eV/atom. For the uncorrected formation energy, the calculation gives 1.139 eV per atom. The energy relative to the lowest polymorph listed for this composition comes out at 152.1 meV per atom. Its space-group type is No. 123.

Unit cell a=5.3969 b=5.3969 c=5.1521 alpha=90.00 beta=90.00 gamma=90.00
Closest atoms and distances in Å follow each position.
Positions (direct):
Cu 0.0000 0.0000 0.0000  2 Te 2.58, 4 I 2.70
B 0.5000 0.5000 0.5000  8 I 3.73, 4 Te 3.82
Te 0.0000 0.0000 0.5000  2 Cu 2.58
I 0.0000 0.5000 0.0000  2 Cu 2.70
I 0.5000 0.0000 0.0000  2 Cu 2.70

---

# 5
DFT (PBE) results for a geometry-optimized CuBTeI2 structure.

## Properties
The calculation puts the density of states at the Fermi level at 0.70 states/eV/atom. For the uncorrected formation energy, the calculation gives 0.987 eV per atom. The energy relative to the lowest polymorph listed for this composition comes out at 0.0 meV per atom. Its space-group type is No. 123.

Unit cell a=5.0236 b=5.0236 c=4.9853 alpha=90.00 beta=90.00 gamma=90.00
Closest atoms and distances in Å follow each position.
Positions (direct):
Cu 0.0000 0.0000 0.0000  8 I 3.54, 4 Te 3.55
B 0.5000 0.5000 0.5000  2 Te 2.49, 4 I 2.51
Te 0.5000 0.5000 0.0000  2 B 2.49
I 0.0000 0.5000 0.5000  2 B 2.51
I 0.5000 0.0000 0.5000  2 B 2.51

---

# 6
DFT (PBE) results for a geometry-optimized ZnCu2BI structure.

## Properties
The calculation puts the density of states at the Fermi level at 0.27 states/eV/atom. For the uncorrected formation energy, the calculation gives 1.459 eV per atom. Its space-group type is No. 123.

Unit cell a=4.4882 b=4.4882 c=6.2735 alpha=90.00 beta=90.00 gamma=90.00
Closest atoms and distances in Å follow each position.
Positions (direct):
Zn 0.0000 0.0000 0.0000  4 Cu 2.24
Cu 0.0000 0.5000 0.0000  2 Zn 2.24
Cu 0.5000 0.0000 0.0000  2 Zn 2.24
B 0.5000 0.5000 0.5000  4 I 3.17
I 0.0000 0.0000 0.5000  2 Zn 3.14, 4 B 3.17

---

# 7
DFT (PBE) results for a geometry-optimized In3CuB structure.

## Properties
The calculation puts the density of states at the Fermi level at 0.42 states/eV/atom. The energy relative to the lowest polymorph listed for this composition comes out at 0.0 meV per atom. Its space-group type is No. 221. As for the formation energy: 0.691 eV per atom.

Unit cell a=4.7980 b=4.7980 c=4.7980 alpha=90.00 beta=90.00 gamma=90.00
Closest atoms and distances in Å follow each position.
Positions (direct):
In 0.0000 0.0000 0.5000  2 B 2.40
In 0.0000 0.5000 0.0000  2 B 2.40
In 0.5000 0.0000 0.0000  2 B 2.40
Cu 0.5000 0.5000 0.5000  12 In 3.39
B 0.0000 0.0000 0.0000  6 In 2.40

---

# 8
DFT (PBE) results for a geometry-optimized In3CuB structure.

## Properties
The calculation puts the density of states at the Fermi level at 0.52 states/eV/atom. The energy relative to the lowest polymorph listed for this composition comes out at 325.6 meV per atom. Its space-group type is No. 221. As for the formation energy: 1.016 eV per atom.

Unit cell a=4.9952 b=4.9952 c=4.9952 alpha=90.00 beta=90.00 gamma=90.00
Closest atoms and distances in Å follow each position.
Positions (direct):
In 0.0000 0.0000 0.5000  2 Cu 2.50
In 0.0000 0.5000 0.0000  2 Cu 2.50
In 0.5000 0.0000 0.0000  2 Cu 2.50
Cu 0.0000 0.0000 0.0000  6 In 2.50
B 0.5000 0.5000 0.5000  12 In 3.53